1.
Density functional theory data (PBE) for crystalline DyHo3Hg4 at its relaxed geometry.

The calculation puts the formation energy at -3.85 eV per formula unit. The calculation puts the magnetic moment at 0.000 μB/atom. The offset from the most stable computed form is 0.000 eV/atom.

The structure belongs to space group P4/mmm (No. 123); the cell edges are 5.2227, 5.2227 and 7.4897 Å and the angles 90.00°, 90.00° and 90.00°. The distinct sites, in fractional coordinates, are Dy at (0.0000, 0.0000, 0.0000), Ho at (0.0000, 0.0000, 0.5000), Ho at (0.5000, 0.5000, 0.0000), Ho at (0.5000, 0.5000, 0.5000) and Hg at (0.0000, 0.5000, 0.2511).

***

2.
Density functional theory data (PBE) for crystalline Na2LiGeS4 at its relaxed geometry.

Its uncorrected formation energy is -5.9 eV/f.u. The calculation puts the magnetic moment at 0.024 μB/atom.

The structure belongs to space group I-42m (No. 121); the cell edges are 7.0715, 7.0715 and 6.5611 Å and the angles 90.00°, 90.00° and 90.00°. The distinct sites, in fractional coordinates, are Na at (0.0000, 0.5000, 0.0000), Li at (0.0000, 0.0000, 0.0000), Ge at (0.0000, 0.0000, 0.5000) and S at (0.1758, 0.1758, 0.2892).

***

3.
Density functional theory data (PBE) for crystalline CdPtPb3 at its relaxed geometry.

The calculation puts the formation energy at -0.44 eV per formula unit. The calculation puts the magnetic moment at 0.000 μB/atom. The offset from the most stable computed form is 0.000 eV/atom.

The structure belongs to space group C2/m (No. 12); the cell edges are 11.1357, 8.9916 and 6.8786 Å and the angles 90.00°, 127.07° and 90.00°. The distinct sites, in fractional coordinates, are Cd at (0.0560, 0.0000, 0.2538), Pt at (0.2499, 0.0000, 0.1194), Pb at (0.0615, 0.5000, 0.3237) and Pb at (0.2006, 0.1973, 0.7281).

***

4.
Density functional theory data (PBE) for crystalline MgCo3 at its relaxed geometry.

The calculation puts the formation energy at 0.59 eV per formula unit. The calculation puts the magnetic moment at 1.108 μB/atom.

The structure belongs to space group I4/mmm (No. 139); the cell edges are 4.1064, 4.1064 and 5.7880 Å and the angles 90.00°, 90.00° and 90.00°. The distinct sites, in fractional coordinates, are Mg at (0.0000, 0.0000, 0.0000), Co at (0.0000, 0.0000, 0.5000) and Co at (0.0000, 0.5000, 0.2500).

***

5.
Density functional theory data (PBE) for crystalline LiCaAuO2 at its relaxed geometry.

Its uncorrected formation energy is -8.2 eV/f.u. The calculation puts the magnetic moment at 0.000 μB/atom.

The structure belongs to space group P2/c (No. 13); the cell edges are 4.9159, 5.9994 and 6.6093 Å and the angles 90.00°, 103.90° and 90.00°. The distinct sites, in fractional coordinates, are Li at (0.0000, 0.1731, 0.2500), Ca at (0.5000, 0.4739, 0.7500), Au at (0.5000, 0.0000, 0.0000) and O at (0.2934, 0.2989, 0.4458).

***

6.
Density functional theory data (PBE) for crystalline CaCrBIr2 at its relaxed geometry.

The calculation puts the formation energy at 14.60 eV per formula unit. The calculation puts the magnetic moment at 0.931 μB/atom.

The structure belongs to space group P4/mmm (No. 123); the cell edges are 4.7799, 4.7799 and 4.8824 Å and the angles 90.00°, 90.00° and 90.00°. The distinct sites, in fractional coordinates, are Ca at (0.0000, 0.0000, 0.0000), Cr at (0.0000, 0.0000, 0.5000), B at (0.5000, 0.5000, 0.5000) and Ir at (0.0000, 0.5000, 0.0000).

***

7.
Density functional theory data (PBE) for crystalline La4Pr2Sn3Cl2 at its relaxed geometry.

Its uncorrected formation energy is -9.3 eV/f.u. The calculation puts the magnetic moment at 0.001 μB/atom.

The structure belongs to space group I4/mmm (No. 139); the cell edges are 5.4431, 5.4431 and 24.7352 Å and the angles 90.00°, 90.00° and 90.00°. The distinct sites, in fractional coordinates, are La at (0.0000, 0.5000, 0.0865), Pr at (0.0000, 0.0000, 0.2001), Sn at (0.0000, 0.0000, 0.3289), Sn at (0.0000, 0.0000, 0.5000) and Cl at (0.0000, 0.0000, 0.0746).

***

8.
Density functional theory data (PBE) for crystalline RbReTe2N at its relaxed geometry.

Its uncorrected formation energy is 0.5 eV/f.u. The calculation puts the magnetic moment at 0.076 μB/atom. The offset from the most stable computed form is 0.000 eV/atom.

The structure belongs to space group P4/mmm (No. 123); the cell edges are 5.7550, 5.7550 and 3.7984 Å and the angles 90.00°, 90.00° and 90.00°. The distinct sites, in fractional coordinates, are Rb at (0.0000, 0.0000, 0.0000), Re at (0.5000, 0.5000, 0.5000), Te at (0.0000, 0.5000, 0.5000) and N at (0.5000, 0.5000, 0.0000).

***

Please write out number 3 again, unchanged.
Density functional theory data (PBE) for crystalline CdPtPb3 at its relaxed geometry.

The calculation puts the formation energy at -0.44 eV per formula unit. The calculation puts the magnetic moment at 0.000 μB/atom. The offset from the most stable computed form is 0.000 eV/atom.

The structure belongs to space group C2/m (No. 12); the cell edges are 11.1357, 8.9916 and 6.8786 Å and the angles 90.00°, 127.07° and 90.00°. The distinct sites, in fractional coordinates, are Cd at (0.0560, 0.0000, 0.2538), Pt at (0.2499, 0.0000, 0.1194), Pb at (0.0615, 0.5000, 0.3237) and Pb at (0.2006, 0.1973, 0.7281).